--- A ---
This record from Alexandria describes a relaxed structure of KCrCo2. The functional is PBE-GGA.

Computed properties:
- Fermi-level density of states: 1.28 states/eV/atom
- ρ: 4.94 g cm⁻³

abc: 5.850 5.850 5.850
angles: 153.94 126.43 60.52
Fractional coordinates of all 4 atoms:
Co1 0.953 0.953 0.000
Co2 0.758 0.258 0.500
Cr1 0.545 0.545 0.000
K1 0.243 0.743 0.500



--- B ---
This record from Alexandria describes a relaxed structure of KCrCo2. The functional is PBE-GGA.

Computed properties:
- Fermi-level density of states: 1.35 states/eV/atom
- ρ: 5.33 g cm⁻³

abc: 2.563 5.042 5.042
angles: 90.00 90.00 90.00
Fractional coordinates of all 4 atoms:
Co1 0.000 0.000 0.000
Co2 0.000 0.500 0.500
Cr1 0.500 0.500 0.000
K1 0.500 0.000 0.500



--- C ---
This record from Alexandria describes a relaxed structure of KCrCo2. The functional is PBE-GGA.

Computed properties:
- Fermi-level density of states: 1.70 states/eV/atom
- ρ: 5.83 g cm⁻³

abc: 4.382 4.382 4.382
angles: 60.00 60.00 60.00
Fractional coordinates of all 4 atoms:
Cr1 0.500 0.500 0.500
K1 0.000 0.000 0.000
Co1 0.250 0.250 0.250
Co2 0.750 0.750 0.750



Decreasing stability: A, B, C



--- A ---
This record from Alexandria describes a relaxed structure of KCrCo2. The functional is PBE-GGA.

Computed properties:
- Fermi-level density of states: 1.36 states/eV/atom
- ρ: 4.71 g cm⁻³

abc: 3.006 3.006 8.146
angles: 90.00 90.00 90.00
Fractional coordinates of all 4 atoms:
Co1 0.000 0.000 0.093
Co2 0.500 0.500 0.223
Cr1 0.000 0.000 0.412
K1 0.500 0.500 0.772



--- B ---
This record from Alexandria describes a relaxed structure of KCrCo2. The functional is PBE-GGA.

Computed properties:
- Fermi-level density of states: 1.08 states/eV/atom
- ρ: 5.88 g cm⁻³

abc: 9.842 9.842 9.842
angles: 15.46 15.46 15.46
Fractional coordinates of all 4 atoms:
Co1 0.984 0.984 0.984
Co2 0.250 0.250 0.250
Cr1 0.519 0.519 0.519
K1 0.747 0.747 0.747



Decreasing stability: A, B



--- A ---
This record from Alexandria describes a relaxed structure of K2CrCo2. The functional is PBE-GGA.

Computed properties:
- Fermi-level density of states: 1.64 states/eV/atom
- ρ: 3.49 g cm⁻³

abc: 3.182 3.182 11.861
angles: 82.29 82.29 90.00
Fractional coordinates of all 5 atoms:
Cr1 0.000 0.000 0.000
K1 0.377 0.377 0.247
K2 0.623 0.623 0.753
Co1 0.750 0.250 0.500
Co2 0.250 0.750 0.500



--- B ---
This record from Alexandria describes a relaxed structure of K2CrCo2. The functional is PBE-GGA.

Computed properties:
- Fermi-level density of states: 2.19 states/eV/atom
- ρ: 3.86 g cm⁻³

abc: 9.103 9.103 2.574
angles: 90.00 90.00 90.00
Fractional coordinates of all 10 atoms:
Cr1 0.000 0.000 0.000
Cr2 0.500 0.500 0.000
K1 0.379 0.879 0.000
K2 0.879 0.621 0.000
K3 0.621 0.121 0.000
K4 0.121 0.379 0.000
Co1 0.185 0.685 0.500
Co2 0.685 0.815 0.500
Co3 0.815 0.315 0.500
Co4 0.315 0.185 0.500



Decreasing stability: A, B



--- A ---
This record from Alexandria describes a relaxed structure of LiCr2Co. The functional is PBE-GGA.

Computed properties:
- Fermi-level density of states: 1.36 states/eV/atom
- ρ: 6.30 g cm⁻³

abc: 4.209 4.209 4.605
angles: 85.53 85.53 33.44
Fractional coordinates of all 4 atoms:
Co1 0.254 0.254 0.253
Cr1 0.990 0.990 0.007
Cr2 0.751 0.751 0.743
Li1 0.506 0.506 0.497



--- B ---
This record from Alexandria describes a relaxed structure of LiCr2Co. The functional is PBE-GGA.

Computed properties:
- Fermi-level density of states: 1.30 states/eV/atom
- ρ: 5.91 g cm⁻³

abc: 8.961 8.961 8.961
angles: 16.00 16.00 16.00
Fractional coordinates of all 4 atoms:
Co1 0.750 0.750 0.750
Cr1 0.007 0.007 0.007
Cr2 0.493 0.493 0.493
Li1 0.250 0.250 0.250



--- C ---
This record from Alexandria describes a relaxed structure of LiCr2Co. The functional is PBE-GGA.

Computed properties:
- Fermi-level density of states: 0.69 states/eV/atom
- ρ: 5.91 g cm⁻³

abc: 2.915 2.915 5.615
angles: 90.00 90.00 90.00
Fractional coordinates of all 4 atoms:
Co1 0.500 0.500 0.758
Cr1 0.000 0.000 0.995
Cr2 0.500 0.500 0.233
Li1 0.000 0.000 0.514



Decreasing stability: C, B, A



--- A ---
This record from Alexandria describes a relaxed structure of LiCr2Co. The functional is PBE-GGA.

Computed properties:
- Fermi-level density of states: 1.11 states/eV/atom
- ρ: 6.05 g cm⁻³

abc: 4.120 4.120 2.745
angles: 90.00 90.00 90.00
Fractional coordinates of all 4 atoms:
Co1 0.000 0.500 0.500
Cr1 0.000 0.000 0.000
Cr2 0.500 0.500 0.000
Li1 0.500 0.000 0.500



--- B ---
This record from Alexandria describes a relaxed structure of LiCr2Co. The functional is PBE-GGA.

Computed properties:
- Fermi-level density of states: 1.37 states/eV/atom
- ρ: 5.91 g cm⁻³

abc: 2.440 2.440 8.013
angles: 90.00 90.00 90.00
Fractional coordinates of all 4 atoms:
Co1 0.500 0.500 0.770
Cr1 0.000 0.000 0.979
Cr2 0.500 0.500 0.232
Li1 0.000 0.000 0.518



Decreasing stability: B, A



--- A ---
This record from Alexandria describes a relaxed structure of LiCr2Co. The functional is PBE-GGA.

Computed properties:
- Fermi-level density of states: 1.26 states/eV/atom
- ρ: 6.28 g cm⁻³

abc: 4.708 4.775 2.372
angles: 82.76 75.62 115.55
Fractional coordinates of all 4 atoms:
Co1 0.500 0.500 0.000
Cr1 0.000 0.000 0.000
Cr2 0.500 0.000 0.500
Li1 0.000 0.500 0.500



--- B ---
This record from Alexandria describes a relaxed structure of LiCr2Co. The functional is PBE-GGA.

Computed properties:
- Fermi-level density of states: 1.24 states/eV/atom
- ρ: 5.94 g cm⁻³

abc: 2.386 2.386 8.757
angles: 90.00 90.00 107.65
Fractional coordinates of all 4 atoms:
Co1 0.500 0.500 0.750
Cr1 0.000 0.000 0.983
Cr2 0.000 0.000 0.517
Li1 0.500 0.500 0.250



--- C ---
This record from Alexandria describes a relaxed structure of LiCr2Co. The functional is PBE-GGA.

Computed properties:
- Fermi-level density of states: 1.16 states/eV/atom
- ρ: 5.97 g cm⁻³

abc: 4.059 4.059 4.059
angles: 60.00 60.00 60.00
Fractional coordinates of all 4 atoms:
Cr1 0.250 0.250 0.250
Cr2 0.750 0.750 0.750
Co1 0.500 0.500 0.500
Li1 0.000 0.000 0.000



Decreasing stability: A, B, C